{
  "formula": "La4Tb2PrTh",
  "functional": "PBE",
  "state": "relaxed",
  "cell": [[3.664, 0.000, 0.000], [0.000, 6.312, -0.391], [0.000, 2.834, 11.846]],
  "species": ["La", "La", "La", "La", "Pr", "Tb", "Tb", "Th"],
  "frac_coords": [[0.500, 0.255, 0.745], [0.500, 0.745, 0.255], [0.000, 0.250, 0.254], [0.000, 0.750, 0.746], [0.500, 0.500, 0.000], [0.500, 0.000, 0.500], [0.000, 0.000, 0.000], [0.000, 0.500, 0.500]],
  "magnetic_moment_mub_per_cell": 0.00,
  "sg": "P2/m (10)",
  "formation_enthalpy_0k_ev_per_atom": 0.031
}